Entry 1:
The following is a PBE calculation of an optimized crystal structure of LiTiAlTc, from the Alexandria database.

Calculated values
Calculated total energy in eV per atom: -6.207
Formation enthalpy at 0 K in eV/atom: -0.23

Unit cell a=6.162 b=6.162 c=6.162 alpha=90.00 beta=90.00 gamma=90.00
Space group F-43m (No. 216)
One atom of each set of equivalent atoms:
Li1 0.000 0.000 0.000
Ti1 0.250 0.250 0.750
Al1 0.250 0.250 0.250
Tc1 0.000 0.000 0.500


Entry 2:
The following is a PBE calculation of an optimized crystal structure of Er2TmGa, from the Alexandria database.

Calculated values
Distance to the lowest polymorph of the same formula in meV per atom: 0
Calculated total energy in eV per atom: -4.441
Formation enthalpy at 0 K in eV/atom: -0.28

Unit cell a=3.638 b=12.606 c=9.427 alpha=90.00 beta=90.00 gamma=90.00
Space group Cmcm (No. 63)
One atom of each set of equivalent atoms:
Er1 0.000 0.134 0.051
Tm1 0.000 0.445 0.250
Ga1 0.000 0.244 0.750


Entry 3:
The following is a PBE calculation of an optimized crystal structure of Th3Se3N, from the Alexandria database.

Calculated values
Distance to the lowest polymorph of the same formula in meV per atom: 0
Formation energy from raw total energies in meV per atom: -1704
Calculated total energy in eV per atom: -7.567

Unit cell a=13.215 b=3.978 c=13.085 alpha=90.00 beta=90.00 gamma=90.00
Space group Pnma (No. 62)
One atom of each set of equivalent atoms:
Th1 0.047 0.250 0.157
Th2 0.058 0.250 0.617
Th3 0.214 0.250 0.851
Se1 0.110 0.250 0.387
Se2 0.124 0.750 0.998
Se3 0.220 0.750 0.676
N1 0.046 0.250 0.796


Entry 4:
The following is a PBE calculation of an optimized crystal structure of AgPt3, from the Alexandria database.

Calculated values
Calculated total energy in eV per atom: -5.230
Formation enthalpy at 0 K in eV/atom: 0.01

Unit cell a=2.787 b=2.787 c=8.298 alpha=90.00 beta=90.00 gamma=90.00
Space group P4/mmm (No. 123)
One atom of each set of equivalent atoms:
Ag1 0.000 0.000 0.000
Pt1 0.000 0.000 0.500
Pt2 0.500 0.500 0.259


Entry 5:
The following is a PBE calculation of an optimized crystal structure of LiSm2NpN4, from the Alexandria database.

Calculated values
Formation energy from raw total energies in meV per atom: -1206
Calculated total energy in eV per atom: -8.405

Unit cell a=4.769 b=4.769 c=10.335 alpha=90.00 beta=90.00 gamma=90.00
Space group I4/mmm (No. 139)
One atom of each set of equivalent atoms:
Li1 0.000 0.000 0.000
Sm1 0.000 0.500 0.250
Np1 0.000 0.000 0.500
N1 0.000 0.000 0.298
N2 0.000 0.500 0.000


Entry 6:
The following is a PBE calculation of an optimized crystal structure of NdPaPb2S6, from the Alexandria database.

Calculated values
Formation energy from raw total energies in meV per atom: -1255
Calculated total energy in eV per atom: -5.899

Unit cell a=7.2710 b=7.2710 c=18.6817 alpha=90.00 beta=90.00 gamma=120.00
Space group R3 (No. 146, hexagonal axes)
One atom of each set of equivalent atoms:
Nd1 0.0000 0.0000 0.0000
Pa1 0.0000 0.0000 0.5043
Pb1 0.0000 0.0000 0.2049
Pb2 0.0000 0.0000 0.7085
S1 0.0036 0.3928 0.7644
S2 0.0326 0.6335 0.2608


Entry 7:
The following is a PBE calculation of an optimized crystal structure of Ti2ZnIr2, from the Alexandria database.

Calculated values
Calculated total energy in eV per atom: -7.570
Formation enthalpy at 0 K in eV/atom: -0.61

Unit cell a=7.376 b=7.376 c=2.949 alpha=90.00 beta=90.00 gamma=90.00
Space group P4/mbm (No. 127)
One atom of each set of equivalent atoms:
Ti1 0.159 0.341 0.000
Zn1 0.000 0.000 0.500
Ir1 0.139 0.639 0.500


Entry 8:
The following is a PBE calculation of an optimized crystal structure of CePaRePb, from the Alexandria database.

Calculated values
Calculated total energy in eV per atom: -8.048
Formation enthalpy at 0 K in eV/atom: -0.15

Unit cell a=3.306 b=3.306 c=8.926 alpha=90.00 beta=90.00 gamma=90.00
Space group P4mm (No. 99)
One atom of each set of equivalent atoms:
Ce1 0.000 0.000 0.000
Pa1 0.000 0.000 0.590
Re1 0.500 0.500 0.783
Pb1 0.500 0.500 0.295


Entry 9:
The following is a PBE calculation of an optimized crystal structure of LiPrDy2Pd4, from the Alexandria database.

Calculated values
Calculated total energy in eV per atom: -5.317
Formation enthalpy at 0 K in eV/atom: -0.73

Unit cell a=4.8619 b=4.8619 c=24.5866 alpha=90.00 beta=90.00 gamma=120.00
Space group R-3m (No. 166, hexagonal axes)
One atom of each set of equivalent atoms:
Li1 0.0000 0.0000 0.0000
Pr1 0.0000 0.0000 0.5000
Dy1 0.0000 0.0000 0.2619
Pd1 0.0000 0.0000 0.1113
Pd2 0.0000 0.0000 0.3773


Entry 10:
The following is a PBE calculation of an optimized crystal structure of NaCa2ZnO, from the Alexandria database.

Calculated values
Formation energy from raw total energies in meV per atom: -1072
Calculated total energy in eV per atom: -3.383

Unit cell a=4.729 b=4.729 c=4.923 alpha=90.00 beta=90.00 gamma=90.00
Space group P4/mmm (No. 123)
One atom of each set of equivalent atoms:
Na1 0.000 0.000 0.000
Ca1 0.000 0.500 0.500
Zn1 0.500 0.500 0.000
O1 0.000 0.000 0.500


Entry 11:
The following is a PBE calculation of an optimized crystal structure of CaLaGdMg, from the Alexandria database.

Calculated values
Calculated total energy in eV per atom: -5.609
Formation enthalpy at 0 K in eV/atom: 0.04

Unit cell a=8.078 b=8.078 c=8.078 alpha=90.00 beta=90.00 gamma=90.00
Space group F-43m (No. 216)
One atom of each set of equivalent atoms:
Ca1 0.000 0.000 0.000
La1 0.250 0.250 0.750
Gd1 0.250 0.250 0.250
Mg1 0.000 0.000 0.500


Entry 12:
The following is a PBE calculation of an optimized crystal structure of Li2CuPd7, from the Alexandria database.

Calculated values
Calculated total energy in eV per atom: -4.320
Formation enthalpy at 0 K in eV/atom: 0.11

Unit cell a=8.366 b=15.009 c=2.698 alpha=90.00 beta=90.00 gamma=90.00
Space group Cmmm (No. 65)
One atom of each set of equivalent atoms:
Li1 0.000 0.171 0.000
Cu1 0.000 0.500 0.500
Pd1 0.000 0.000 0.000
Pd2 0.000 0.317 0.500
Pd3 0.226 0.408 0.000


Entry 13:
The following is a PBE calculation of an optimized crystal structure of TmZn10Cu2, from the Alexandria database.

Calculated values
Calculated total energy in eV per atom: -2.129
Formation enthalpy at 0 K in eV/atom: -0.17

Unit cell a=5.070 b=12.453 c=12.526 alpha=90.00 beta=90.00 gamma=90.00
Space group Fmmm (No. 69)
One atom of each set of equivalent atoms:
Tm1 0.000 0.000 0.000
Zn1 0.000 0.110 0.394
Zn2 0.000 0.179 0.171
Zn3 0.250 0.000 0.250
Cu1 0.250 0.250 0.000


Entry 14:
The following is a PBE calculation of an optimized crystal structure of SmEu2Y, from the Alexandria database.

Calculated values
Distance to the lowest polymorph of the same formula in meV per atom: 18
Calculated total energy in eV per atom: -7.824
Formation enthalpy at 0 K in eV/atom: 0.11

Unit cell a=3.680 b=3.680 c=10.671 alpha=90.00 beta=90.00 gamma=90.00
Space group P4/mmm (No. 123)
One atom of each set of equivalent atoms:
Sm1 0.000 0.000 0.000
Eu1 0.500 0.500 0.252
Y1 0.000 0.000 0.500


Entry 15:
The following is a PBE calculation of an optimized crystal structure of Ba3CaNp2O9, from the Alexandria database.

Calculated values
Formation energy from raw total energies in meV per atom: -2982
Calculated total energy in eV per atom: -8.200

Unit cell a=6.2014 b=6.2014 c=7.6159 alpha=90.00 beta=90.00 gamma=120.00
Space group P-3m1 (No. 164)
One atom of each set of equivalent atoms:
Ba1 0.0000 0.0000 0.0000
Ba2 0.3333 0.6667 0.6507
Ca1 0.0000 0.0000 0.5000
Np1 0.3333 0.6667 0.1660
O1 0.0000 0.5000 0.0000
O2 0.1747 0.3493 0.3242


Entry 16:
The following is a PBE calculation of an optimized crystal structure of CaYHg2, from the Alexandria database.

Calculated values
Distance to the lowest polymorph of the same formula in meV per atom: 11
Calculated total energy in eV per atom: -2.806
Formation enthalpy at 0 K in eV/atom: -0.54

Unit cell a=7.492 b=7.492 c=7.492 alpha=90.00 beta=90.00 gamma=90.00
Space group Fm-3m (No. 225)
One atom of each set of equivalent atoms:
Ca1 0.000 0.000 0.000
Y1 0.000 0.000 0.500
Hg1 0.250 0.250 0.250


Entry 17:
The following is a PBE calculation of an optimized crystal structure of Y4AsPSe2, from the Alexandria database.

Calculated values
Formation energy from raw total energies in meV per atom: -1758
Calculated total energy in eV per atom: -7.119

Unit cell a=7.050 b=4.068 c=7.126 alpha=90.00 beta=109.28 gamma=90.00
Space group P2/m (No. 10)
One atom of each set of equivalent atoms:
Y1 0.238 0.000 0.230
Y2 0.250 0.500 0.766
As1 0.500 0.000 0.000
P1 0.000 0.500 0.000
Se1 0.000 0.000 0.500
Se2 0.500 0.500 0.500


Entry 18:
The following is a PBE calculation of an optimized crystal structure of Sb2Rh2Br, from the Alexandria database.

Calculated values
Distance to the lowest polymorph of the same formula in meV per atom: 0
Formation energy from raw total energies in meV per atom: -137
Calculated total energy in eV per atom: -5.061

Unit cell a=7.807 b=7.807 c=3.351 alpha=90.00 beta=90.00 gamma=90.00
Space group P4/mbm (No. 127)
One atom of each set of equivalent atoms:
Sb1 0.146 0.354 0.000
Rh1 0.131 0.631 0.500
Br1 0.000 0.000 0.500


Entry 19:
The following is a PBE calculation of an optimized crystal structure of TbTaOsRu, from the Alexandria database.

Calculated values
Calculated total energy in eV per atom: -9.499
Formation enthalpy at 0 K in eV/atom: -0.25

Unit cell a=6.566 b=6.566 c=6.566 alpha=90.00 beta=90.00 gamma=90.00
Space group F-43m (No. 216)
One atom of each set of equivalent atoms:
Tb1 0.000 0.000 0.000
Ta1 0.000 0.000 0.500
Os1 0.250 0.250 0.750
Ru1 0.250 0.250 0.250


Entry 20:
The following is a PBE calculation of an optimized crystal structure of Ac2NdTl, from the Alexandria database.

Calculated values
Distance to the lowest polymorph of the same formula in meV per atom: 82
Calculated total energy in eV per atom: -3.904
Formation enthalpy at 0 K in eV/atom: -0.07

Unit cell a=3.9655 b=3.9655 c=34.5912 alpha=90.00 beta=90.00 gamma=120.00
Space group R3m (No. 160, hexagonal axes)
One atom of each set of equivalent atoms:
Ac1 0.0000 0.0000 0.0000
Ac2 0.0000 0.0000 0.1779
Nd1 0.0000 0.0000 0.4223
Tl1 0.0000 0.0000 0.5890